! ScZn2H, PBEsol geometry, DFT meta-GGA SCAN; values from VASP
! density of states at the Fermi level: 2.34 states/eV per cell
! DFT total energy: -42.75 eV for the cell shown
! space group: Fm-3m (225)
&SYSTEM
  ibrav = 0, nat = 4, ntyp = 3
/
ATOMIC_SPECIES
Sc 44.96 Sc.upf
Zn 65.41 Zn.upf
H 1.01 H.upf
ATOMIC_POSITIONS crystal
Sc 0.000 0.000 0.000
Zn 0.250 0.250 0.250
Zn 0.750 0.750 0.750
H 0.500 0.500 0.500
CELL_PARAMETERS angstrom
0.000 3.085 3.085
3.085 0.000 3.085
3.085 3.085 0.000